(1)
# PuMgCrRu

A relaxed structure of PuMgCrRu (GGA-PBE, Alexandria via LeMat-Bulk).

Properties
Magnetization in μB per formula unit: 6.39
Calculated total energy in Ry per atom: -0.624
Calculated formation energy in eV/atom: 0.22
Crystal system: cubic
DOS(E_F) in states/eV per atom: 0.997

Unit cell a=6.4855 b=6.4855 c=6.4855 alpha=90.00 beta=90.00 gamma=90.00
Space group F-43m (No. 216)
Asymmetric unit:
Pu1 0.0000 0.0000 0.0000 x4
Mg1 0.0000 0.0000 0.5000 x4
Cr1 0.2500 0.2500 0.7500 x4
Ru1 0.2500 0.2500 0.2500 x4

***

(2)
# RbMg2Cr

A relaxed structure of RbMg2Cr (GGA-PBE, Alexandria via LeMat-Bulk).

Properties
Magnetization in μB per formula unit: 5.03
Calculated total energy in Ry per atom: -0.197
Offset from the most stable computed form in meV per atom: 0
Calculated formation energy in eV/atom: 0.76
Crystal system: tetragonal
DOS(E_F) in states/eV per atom: 0.538

Unit cell a=5.8507 b=5.8507 c=19.8125 alpha=90.00 beta=90.00 gamma=90.00
Space group I4_1/amd (No. 141, origin choice 2)
Asymmetric unit:
Rb1 0.0000 0.2500 0.3750 x4
Mg1 0.0000 0.0000 0.0000 x8
Cr1 0.0000 0.2500 0.8750 x4

***

Copy entry 2 word for word.
# RbMg2Cr

A relaxed structure of RbMg2Cr (GGA-PBE, Alexandria via LeMat-Bulk).

Properties
Magnetization in μB per formula unit: 5.03
Calculated total energy in Ry per atom: -0.197
Offset from the most stable computed form in meV per atom: 0
Calculated formation energy in eV/atom: 0.76
Crystal system: tetragonal
DOS(E_F) in states/eV per atom: 0.538

Unit cell a=5.8507 b=5.8507 c=19.8125 alpha=90.00 beta=90.00 gamma=90.00
Space group I4_1/amd (No. 141, origin choice 2)
Asymmetric unit:
Rb1 0.0000 0.2500 0.3750 x4
Mg1 0.0000 0.0000 0.0000 x8
Cr1 0.0000 0.2500 0.8750 x4

***

Question: The lowest DOS(E_F) belongs to which entry?
Answer: RbMg2Cr

***

Question: The highest calculated formation energy belongs to which entry?
Answer: RbMg2Cr

***

Question: What is the DOS(E_F) in the first record?
Answer: 0.997 states/eV per atom